#1
VASP calculation (GGA-PBE) on a relaxed FeHgC3 crystal.

Properties
Crystal system = cubic

abc: 3.8662 3.8662 3.8662
angles: 90.00 90.00 90.00
Space group Pm-3m (No. 221)
Symmetry-distinct sites (fractional):
1 Fe 0.0000 0.0000 0.0000
2 Hg 0.5000 0.5000 0.5000
3 C 0.0000 0.0000 0.5000

---

#2
VASP calculation (GGA-PBE) on a relaxed FeHgC3 crystal.

Properties
Crystal system = cubic

abc: 4.2005 4.2005 4.2005
angles: 90.00 90.00 90.00
Space group Pm-3m (No. 221)
Symmetry-distinct sites (fractional):
1 Fe 0.0000 0.0000 0.0000
2 Hg 0.5000 0.5000 0.5000
3 C 0.0000 0.5000 0.5000

---

Which structure loses on stability? #2 does.

---

#1
VASP calculation (GGA-PBE) on a relaxed FeCI3 crystal.

Properties
Crystal system = cubic

abc: 5.1824 5.1824 5.1824
angles: 90.00 90.00 90.00
Space group Pm-3m (No. 221)
Symmetry-distinct sites (fractional):
1 Fe 0.0000 0.0000 0.0000
2 C 0.5000 0.5000 0.5000
3 I 0.0000 0.0000 0.5000

---

#2
VASP calculation (GGA-PBE) on a relaxed FeCI3 crystal.

Properties
Crystal system = cubic

abc: 5.0440 5.0440 5.0440
angles: 90.00 90.00 90.00
Space group Pm-3m (No. 221)
Symmetry-distinct sites (fractional):
1 Fe 0.0000 0.0000 0.0000
2 C 0.5000 0.5000 0.5000
3 I 0.0000 0.5000 0.5000

---

Which structure loses on stability? #1 does.

---

#1
VASP calculation (GGA-PBE) on a relaxed Li2FeCI crystal.

Properties
Crystal system = tetragonal

abc: 5.0900 5.0900 4.3665
angles: 90.00 90.00 90.00
Space group P4/mmm (No. 123)
Symmetry-distinct sites (fractional):
1 Li 0.0000 0.5000 0.0000
2 Fe 0.0000 0.0000 0.5000
3 C 0.5000 0.5000 0.5000
4 I 0.5000 0.5000 0.0000

---

#2
VASP calculation (GGA-PBE) on a relaxed Li2FeCI crystal.

Properties
Crystal system = tetragonal

abc: 3.8904 3.8904 5.0219
angles: 90.00 90.00 90.00
Space group P4/mmm (No. 123)
Symmetry-distinct sites (fractional):
1 Li 0.0000 0.5000 0.0000
2 Fe 0.0000 0.0000 0.5000
3 C 0.5000 0.5000 0.0000
4 I 0.5000 0.5000 0.5000

---

Which structure loses on stability? #1 does.

---

#1
VASP calculation (GGA-PBE) on a relaxed FeCI2N crystal.

Properties
Crystal system = tetragonal

abc: 7.4906 7.4906 2.6235
angles: 90.00 90.00 90.00
Space group P4/mmm (No. 123)
Symmetry-distinct sites (fractional):
1 Fe 0.0000 0.0000 0.0000
2 C 0.5000 0.5000 0.5000
3 I 0.0000 0.5000 0.5000
4 N 0.5000 0.5000 0.0000

---

#2
VASP calculation (GGA-PBE) on a relaxed FeCI2N crystal.

Properties
Crystal system = tetragonal

abc: 5.2887 5.2887 3.4516
angles: 90.00 90.00 90.00
Space group P4/mmm (No. 123)
Symmetry-distinct sites (fractional):
1 Fe 0.0000 0.0000 0.0000
2 C 0.5000 0.5000 0.5000
3 I 0.0000 0.5000 0.0000
4 N 0.0000 0.0000 0.5000

---

Which structure loses on stability? #2 does.

---

#1
VASP calculation (GGA-PBE) on a relaxed FeSbCI2 crystal.

Properties
Crystal system = tetragonal

abc: 5.4383 5.4383 4.9597
angles: 90.00 90.00 90.00
Space group P4/mmm (No. 123)
Symmetry-distinct sites (fractional):
1 Fe 0.0000 0.0000 0.0000
2 Sb 0.0000 0.0000 0.5000
3 C 0.5000 0.5000 0.5000
4 I 0.0000 0.5000 0.0000

---

#2
VASP calculation (GGA-PBE) on a relaxed FeSbCI2 crystal.

Properties
Crystal system = tetragonal

abc: 5.0263 5.0263 4.7281
angles: 90.00 90.00 90.00
Space group P4/mmm (No. 123)
Symmetry-distinct sites (fractional):
1 Fe 0.0000 0.0000 0.0000
2 Sb 0.5000 0.5000 0.0000
3 C 0.5000 0.5000 0.5000
4 I 0.0000 0.5000 0.5000

---

Which structure loses on stability? #1 does.

---

#1
VASP calculation (GGA-PBE) on a relaxed Fe3IrC crystal.

Properties
Crystal system = cubic

abc: 4.6611 4.6611 4.6611
angles: 90.00 90.00 90.00
Space group Pm-3m (No. 221)
Symmetry-distinct sites (fractional):
1 Fe 0.0000 0.0000 0.5000
2 Ir 0.0000 0.0000 0.0000
3 C 0.5000 0.5000 0.5000

---

#2
VASP calculation (GGA-PBE) on a relaxed Fe3IrC crystal.

Properties
Crystal system = cubic

abc: 3.7531 3.7531 3.7531
angles: 90.00 90.00 90.00
Space group Pm-3m (No. 221)
Symmetry-distinct sites (fractional):
1 Fe 0.0000 0.0000 0.5000
2 Ir 0.5000 0.5000 0.5000
3 C 0.0000 0.0000 0.0000

---

Which structure loses on stability? #1 does.

---

#1
VASP calculation (GGA-PBE) on a relaxed FeIrPdC2 crystal.

Properties
Crystal system = tetragonal

abc: 3.6197 3.6197 5.1468
angles: 90.00 90.00 90.00
Space group P4/mmm (No. 123)
Symmetry-distinct sites (fractional):
1 Fe 0.0000 0.0000 0.0000
2 Ir 0.0000 0.0000 0.5000
3 Pd 0.5000 0.5000 0.5000
4 C 0.0000 0.5000 0.0000

---

#2
VASP calculation (GGA-PBE) on a relaxed FeIrPdC2 crystal.

Properties
Crystal system = tetragonal

abc: 3.8540 3.8540 4.9133
angles: 90.00 90.00 90.00
Space group P4/mmm (No. 123)
Symmetry-distinct sites (fractional):
1 Fe 0.0000 0.0000 0.0000
2 Ir 0.5000 0.5000 0.0000
3 Pd 0.0000 0.0000 0.5000
4 C 0.0000 0.5000 0.5000

---

Which structure loses on stability? #2 does.

---

#1
VASP calculation (GGA-PBE) on a relaxed KFeC3 crystal.

Properties
Crystal system = cubic

abc: 3.9019 3.9019 3.9019
angles: 90.00 90.00 90.00
Space group Pm-3m (No. 221)
Symmetry-distinct sites (fractional):
1 K 0.0000 0.0000 0.0000
2 Fe 0.5000 0.5000 0.5000
3 C 0.0000 0.5000 0.5000

---

#2
VASP calculation (GGA-PBE) on a relaxed KFeC3 crystal.

Properties
Crystal system = cubic

abc: 4.1605 4.1605 4.1605
angles: 90.00 90.00 90.00
Space group Pm-3m (No. 221)
Symmetry-distinct sites (fractional):
1 K 0.0000 0.0000 0.0000
2 Fe 0.5000 0.5000 0.5000
3 C 0.0000 0.0000 0.5000

---

Which structure loses on stability? #2 does.

---

#1
VASP calculation (GGA-PBE) on a relaxed KFeC2 crystal.

Properties
Crystal system = cubic

abc: 5.8732 5.8732 5.8732
angles: 90.00 90.00 90.00
Space group Fm-3m (No. 225)
Symmetry-distinct sites (fractional):
1 K 0.0000 0.0000 0.0000
2 Fe 0.0000 0.0000 0.5000
3 C 0.2500 0.2500 0.2500

---

#2
VASP calculation (GGA-PBE) on a relaxed KFeC2 crystal.

Properties
Crystal system = tetragonal

abc: 5.6984 5.6984 8.0779
angles: 90.00 90.00 90.00
Space group I4_1/amd (No. 141, origin choice 2)
Symmetry-distinct sites (fractional):
1 K 0.0000 0.2500 0.3750
2 Fe 0.0000 0.2500 0.8750
3 C 0.0000 0.0000 0.0000

---

Which structure loses on stability? #1 does.

---

#1
VASP calculation (GGA-PBE) on a relaxed LaFe2C2 crystal.

Properties
Crystal system = tetragonal

abc: 3.4715 3.4715 10.3516
angles: 90.00 90.00 90.00
Space group I4/mmm (No. 139)
Symmetry-distinct sites (fractional):
1 La 0.0000 0.0000 0.0000
2 Fe 0.0000 0.5000 0.2500
3 C 0.0000 0.0000 0.3328

---

#2
VASP calculation (GGA-PBE) on a relaxed LaFe2C2 crystal.

Properties
Crystal system = orthorhombic

abc: 5.9164 8.6170 9.4417
angles: 90.00 90.00 90.00
Space group Fddd (No. 70, origin choice 2)
Symmetry-distinct sites (fractional):
1 La 0.1250 0.1250 0.1250
2 Fe 0.1250 0.1250 0.4937
3 C 0.1250 0.3017 0.6250

---

Which structure loses on stability? #2 does.

---

#1
VASP calculation (GGA-PBE) on a relaxed La2FeTeC crystal.

Properties
Crystal system = tetragonal

abc: 5.4405 5.4405 3.8107
angles: 90.00 90.00 90.00
Space group P4/mmm (No. 123)
Symmetry-distinct sites (fractional):
1 La 0.0000 0.5000 0.0000
2 Fe 0.0000 0.0000 0.5000
3 Te 0.5000 0.5000 0.5000
4 C 0.0000 0.0000 0.0000

---

#2
VASP calculation (GGA-PBE) on a relaxed La2FeTeC crystal.

Properties
Crystal system = tetragonal

abc: 5.9556 5.9556 4.5816
angles: 90.00 90.00 90.00
Space group P4/mmm (No. 123)
Symmetry-distinct sites (fractional):
1 La 0.0000 0.5000 0.0000
2 Fe 0.0000 0.0000 0.5000
3 Te 0.0000 0.0000 0.0000
4 C 0.5000 0.5000 0.5000

---

Which structure loses on stability? #2 does.

---

#1
VASP calculation (GGA-PBE) on a relaxed Li3FeC crystal.

Properties
Crystal system = cubic

abc: 4.6312 4.6312 4.6312
angles: 90.00 90.00 90.00
Space group Pm-3m (No. 221)
Symmetry-distinct sites (fractional):
1 Li 0.0000 0.0000 0.5000
2 Fe 0.0000 0.0000 0.0000
3 C 0.5000 0.5000 0.5000

---

#2
VASP calculation (GGA-PBE) on a relaxed Li3FeC crystal.

Properties
Crystal system = cubic

abc: 3.9732 3.9732 3.9732
angles: 90.00 90.00 90.00
Space group Pm-3m (No. 221)
Symmetry-distinct sites (fractional):
1 Li 0.0000 0.0000 0.5000
2 Fe 0.5000 0.5000 0.5000
3 C 0.0000 0.0000 0.0000

---

Which structure loses on stability? #1 does.